Density functional theory data (PBE) for crystalline Ho3Si2NiPt9 at its relaxed geometry.

```
Ho3Si2NiPt9
1.0
5.621 0.000 0.000
-2.811 4.868 0.000
0.000 0.000 11.028
Ho Si Ni Pt
3 2 1 9
Direct
0.000 0.000 0.000
0.333 0.667 0.755
0.667 0.333 0.245
0.333 0.667 0.168
0.667 0.333 0.832
0.000 0.000 0.500
0.000 0.500 0.000
0.164 0.327 0.323
0.164 0.836 0.323
0.327 0.164 0.677
0.500 0.000 0.000
0.500 0.500 0.000
0.673 0.836 0.323
0.836 0.164 0.677
0.836 0.673 0.677
```

Total moment: 0.00 μB/f.u.
Electronic total energy: -6.40 eV per atom
Crystal system: trigonal